(1)
## KBa2Bi2O9 (GGA-PBE)

Data for a geometry-optimized KBa2Bi2O9 structure.

Results
The size of the total moment is 3.04 μB per cell. As for the total energy: -5.27 eV per atom. For the formation energy from raw total energies, the calculation gives -1.177 eV per atom.

Lattice parameters (Å, degrees): 5.9730 5.9730 7.9417 90.00 90.00 120.00
Last column: nearest neighbours and their distance in Å.
Fractional positions:
O 0.0000 0.5000 0.0000  2 Bi 2.12
O 0.6424 0.8212 0.3301  1 Bi 2.12
O 0.8212 0.6424 0.6699  1 Bi 2.12
K 0.0000 0.0000 0.0000  12 O 2.99-3.21
O 0.1788 0.3576 0.3301  1 Bi 2.12
O 0.5000 0.5000 0.0000  2 Bi 2.12
O 0.1788 0.8212 0.3301  1 Bi 2.12
O 0.8212 0.1788 0.6699  1 Bi 2.12
Ba 0.6667 0.3333 0.3580  9 O 2.95-3.00
Bi 0.6667 0.3333 0.8445  6 O 2.12
Ba 0.3333 0.6667 0.6420  9 O 2.95-3.00
Bi 0.3333 0.6667 0.1555  6 O 2.12
O 0.3576 0.1788 0.6699  1 Bi 2.12
O 0.5000 0.0000 0.0000  2 Bi 2.12

(2)
## Hg4AuF (GGA-PBE)

Data for a geometry-optimized Hg4AuF structure.

Results
The size of the total moment is 0.00 μB per cell. As for the total energy: -1.41 eV per atom. For the formation energy from raw total energies, the calculation gives -0.347 eV per atom.

Lattice parameters (Å, degrees): 8.3341 6.8968 6.8969 120.33 74.91 74.91
Last column: nearest neighbours and their distance in Å.
Fractional positions:
Au 0.2500 0.3834 0.6167  8 Hg 2.90-2.97
F 0.7500 0.9442 0.0558  4 Hg 2.55
Hg 0.4964 0.1571 0.7667  1 F 2.55, 1 Hg 2.86
Hg 0.5036 0.8429 0.2333  1 F 2.55, 1 Hg 2.86
Hg 0.4929 0.6147 0.7606  1 F 2.55, 1 Hg 2.86
Hg 0.0036 0.2333 0.8430  1 F 2.55, 1 Hg 2.86
Hg 0.0071 0.2394 0.3853  1 F 2.55, 1 Hg 2.86
Au 0.7500 0.6166 0.3833  8 Hg 2.90-2.97
Hg 0.9964 0.7667 0.1570  1 F 2.55, 1 Hg 2.86
Hg 0.5071 0.3853 0.2394  1 F 2.55, 1 Hg 2.86
Hg 0.9929 0.7606 0.6147  1 F 2.55, 1 Hg 2.86
F 0.2500 0.0558 0.9442  4 Hg 2.55

(3)
## Pr3Zn3Ni2 (GGA-PBE)

Data for a geometry-optimized Pr3Zn3Ni2 structure.

Results
The size of the total moment is 0.00 μB per cell. As for the total energy: -4.04 eV per atom.

Lattice parameters (Å, degrees): 4.2980 5.5430 15.5459 90.00 90.00 112.81
Last column: nearest neighbours and their distance in Å.
Fractional positions:
Zn 0.3437 0.6875 0.2500  2 Ni 2.56
Zn 0.6422 0.2844 0.4639  3 Ni 2.54-2.69
Ni 0.2142 0.4285 0.3912  4 Zn 2.54-2.69
Pr 0.9263 0.8527 0.1051  3 Ni 2.94-3.05, 7 Zn 3.10-3.26
Zn 0.3578 0.7156 0.5361  3 Ni 2.54-2.69
Pr 0.0737 0.1473 0.6051  3 Ni 2.94-3.05, 7 Zn 3.10-3.26
Zn 0.6563 0.3125 0.7500  2 Ni 2.56
Pr 0.9263 0.8527 0.3949  3 Ni 2.94-3.05, 7 Zn 3.10-3.26
Pr 0.6404 0.2808 0.2500  5 Zn 2.99-3.32, 4 Ni 3.16
Zn 0.6422 0.2844 0.0361  3 Ni 2.54-2.69
Ni 0.7858 0.5715 0.8912  4 Zn 2.54-2.69
Pr 0.3596 0.7192 0.7500  5 Zn 2.99-3.32, 4 Ni 3.16
Ni 0.2142 0.4285 0.1088  4 Zn 2.54-2.69
Ni 0.7858 0.5715 0.6088  4 Zn 2.54-2.69
Pr 0.0737 0.1473 0.8949  3 Ni 2.94-3.05, 7 Zn 3.10-3.26
Zn 0.3578 0.7156 0.9639  3 Ni 2.54-2.69

(4)
## ZrSc5In2 (GGA-PBE)

Data for a geometry-optimized ZrSc5In2 structure.

Results
The size of the total moment is 0.00 μB per cell. As for the total energy: -5.98 eV per atom.

Lattice parameters (Å, degrees): 4.5087 6.3721 12.7338 90.00 90.00 90.00
Last column: nearest neighbours and their distance in Å.
Fractional positions:
In 0.5000 0.7438 0.3729  10 Sc 3.14-3.22, 2 Zr 3.22
In 0.5000 0.2562 0.6271  10 Sc 3.14-3.22, 2 Zr 3.22
Sc 0.0000 0.4978 0.2471  1 Zr 3.15, 4 In 3.17-3.18, 7 Sc 3.18-3.27
In 0.5000 0.7562 0.8729  10 Sc 3.14-3.22, 2 Zr 3.22
Sc 0.5000 0.7608 0.6197  2 Zr 3.12, 4 In 3.14-3.22, 6 Sc 3.18-3.27
Sc 0.0000 0.0000 0.0000  4 In 3.18, 2 Zr 3.19, 6 Sc 3.19-3.22
Sc 0.0000 0.5000 0.5000  4 In 3.18, 2 Zr 3.19, 6 Sc 3.19-3.22
Sc 0.5000 0.2608 0.8803  2 Zr 3.12, 4 In 3.14-3.22, 6 Sc 3.18-3.27
Sc 0.0000 0.5022 0.7529  1 Zr 3.15, 4 In 3.17-3.18, 7 Sc 3.18-3.27
Sc 0.5000 0.2392 0.3803  2 Zr 3.12, 4 In 3.14-3.22, 6 Sc 3.18-3.27
In 0.5000 0.2438 0.1271  10 Sc 3.14-3.22, 2 Zr 3.22
Zr 0.0000 0.0000 0.5000  8 Sc 3.12-3.19, 4 In 3.22
Zr 0.0000 0.5000 0.0000  8 Sc 3.12-3.19, 4 In 3.22
Sc 0.0000 0.0022 0.7471  1 Zr 3.15, 4 In 3.17-3.18, 7 Sc 3.18-3.27
Sc 0.0000 0.9978 0.2529  1 Zr 3.15, 4 In 3.17-3.18, 7 Sc 3.18-3.27
Sc 0.5000 0.7392 0.1197  2 Zr 3.12, 4 In 3.14-3.22, 6 Sc 3.18-3.27

(5)
## Rb3AlAg3F8 (GGA-PBE)

Data for a geometry-optimized Rb3AlAg3F8 structure.

Results
The size of the total moment is 0.00 μB per cell. As for the total energy: -4.16 eV per atom. For the formation energy from raw total energies, the calculation gives -2.147 eV per atom.

Lattice parameters (Å, degrees): 7.4691 7.4750 7.6124 119.40 90.00 119.98
Last column: nearest neighbours and their distance in Å.
Fractional positions:
Rb 0.5000 0.5000 0.0000  6 F 2.80-2.81
F 0.8260 0.0014 0.3277  1 Al 1.85
Ag 0.0000 0.5000 0.5000  6 F 2.55-2.77
F 0.1737 0.3474 0.6721  1 Al 1.85
F 0.2611 0.5222 0.2838  3 Ag 2.55, 3 Rb 2.80
F 0.8263 0.6526 0.3279  1 Al 1.85
F 0.8245 0.9986 0.6723  1 Al 1.85
F 0.1740 0.9986 0.6723  1 Al 1.85
F 0.1755 0.0014 0.3277  1 Al 1.85
Ag 0.5000 0.0000 0.5000  6 F 2.55-2.76
Rb 0.0000 0.0000 0.0000  6 F 2.80-2.81
Rb 0.0000 0.5000 0.0000  6 F 2.80-2.81
Al 0.0000 0.0000 0.5000  6 F 1.85
Ag 0.5000 0.5000 0.5000  6 F 2.55-2.77
F 0.7389 0.4778 0.7162  3 Ag 2.55, 3 Rb 2.80

(6)
## Ho2PdPt3 (GGA-PBE)

Data for a geometry-optimized Ho2PdPt3 structure.

Results
The size of the total moment is 0.00 μB per cell. As for the total energy: -6.16 eV per atom.

Lattice parameters (Å, degrees): 7.6175 8.2870 7.0470 126.01 122.72 90.00
Last column: nearest neighbours and their distance in Å.
Fractional positions:
Pt 0.5000 0.7500 0.0000  2 Pt 2.65
Ho 0.4796 0.6815 0.3630  1 Pd 2.74, 4 Pt 2.81-3.00
Pt 0.5000 0.2500 0.0000  2 Pt 2.65
Pd 0.0000 0.0000 0.0000  4 Pt 2.61, 2 Ho 2.74
Pt 0.1870 0.4370 0.3741  2 Pd 2.61, 1 Pt 2.65, 2 Ho 2.81
Pt 0.8130 0.5630 0.6259  2 Pd 2.61, 1 Pt 2.65, 2 Ho 2.81
Ho 0.8834 0.1815 0.3630  1 Pd 2.74, 4 Pt 2.81-3.00
Ho 0.1166 0.8185 0.6370  1 Pd 2.74, 4 Pt 2.81-3.00
Ho 0.5204 0.3185 0.6370  1 Pd 2.74, 4 Pt 2.81-3.00
Pd 0.0000 0.5000 0.0000  4 Pt 2.61, 2 Ho 2.74
Pt 0.1870 0.9370 0.3741  2 Pd 2.61, 1 Pt 2.65, 2 Ho 2.81
Pt 0.8130 0.0630 0.6259  2 Pd 2.61, 1 Pt 2.65, 2 Ho 2.81

(7)
## SiAgF5 (GGA-PBE)

Data for a geometry-optimized SiAgF5 structure.

Results
The size of the total moment is 0.17 μB per cell. As for the total energy: -5.04 eV per atom. For the formation energy from raw total energies, the calculation gives -2.519 eV per atom.

Lattice parameters (Å, degrees): 6.4700 6.4700 6.1658 68.00 68.00 99.73
Last column: nearest neighbours and their distance in Å.
Fractional positions:
Si 0.0000 0.0000 0.0000  6 F 1.68-1.82
F 0.3066 0.1934 0.7500  2 Si 1.82
F 0.5378 0.4233 0.2597  1 Si 1.68
F 0.0703 0.7661 0.9807  1 Si 1.69
Ag 0.8766 0.6234 0.7500  8 F 2.52-2.68
F 0.9297 0.2339 0.0193  1 Si 1.69
F 0.4622 0.5767 0.7403  1 Si 1.68
F 0.2661 0.5703 0.4807  1 Si 1.69
F 0.7339 0.4297 0.5193  1 Si 1.69
Ag 0.1234 0.3766 0.2500  8 F 2.52-2.68
Si 0.5000 0.5000 0.5000  6 F 1.68-1.82
F 0.6934 0.8066 0.2500  2 Si 1.82
F 0.0767 0.9622 0.2403  1 Si 1.68
F 0.9233 0.0378 0.7597  1 Si 1.68

(8)
## TlSnF3 (GGA-PBE)

Data for a geometry-optimized TlSnF3 structure.

Results
The size of the total moment is 0.00 μB per cell. As for the total energy: -4.42 eV per atom. For the formation energy from raw total energies, the calculation gives -2.023 eV per atom.

Lattice parameters (Å, degrees): 4.7246 4.7246 4.7246 90.00 90.00 90.00
Last column: nearest neighbours and their distance in Å.
Fractional positions:
Sn 0.0000 0.0000 0.0000  6 F 2.36
F 0.5000 0.0000 0.0000  2 Sn 2.36
F 0.0000 0.0000 0.5000  2 Sn 2.36
F 0.0000 0.5000 0.0000  2 Sn 2.36
Tl 0.5000 0.5000 0.5000  12 F 3.34

(9)
## CaCoOs2 (GGA-PBE)

Data for a geometry-optimized CaCoOs2 structure.

Results
The size of the total moment is 0.13 μB per cell. As for the total energy: -7.50 eV per atom.

Lattice parameters (Å, degrees): 2.8230 2.8230 7.9849 90.00 90.00 90.00
Last column: nearest neighbours and their distance in Å.
Fractional positions:
Os 0.0000 0.0000 0.9898  4 Co 2.54, 8 Os 2.65-2.82
Os 0.5000 0.5000 0.2082  8 Os 2.65-2.82
Ca 0.0000 0.0000 0.5089  4 Ca 2.82, 4 Co 3.02, 4 Os 3.12
Co 0.5000 0.5000 0.7931  4 Os 2.54, 4 Co 2.82

(10)
## AgMo2Pd6 (GGA-PBE)

Data for a geometry-optimized AgMo2Pd6 structure.

Results
The size of the total moment is 0.00 μB per cell. As for the total energy: -6.20 eV per atom.

Lattice parameters (Å, degrees): 2.8233 2.8233 20.6996 90.00 90.00 120.00
Last column: nearest neighbours and their distance in Å.
Fractional positions:
Pd 0.3333 0.6667 0.7735  3 Mo 2.70, 9 Pd 2.82-2.84
Ag 0.3333 0.6667 0.0000  6 Ag 2.82, 6 Pd 2.87
Mo 0.6667 0.3333 0.3305  6 Pd 2.70-2.71, 6 Mo 2.82
Pd 0.6667 0.3333 0.8857  9 Pd 2.82-2.84, 3 Ag 2.87
Pd 0.6667 0.3333 0.1143  9 Pd 2.82-2.84, 3 Ag 2.87
Pd 0.3333 0.6667 0.4354  7 Pd 2.68-2.82, 3 Mo 2.71
Pd 0.3333 0.6667 0.5646  7 Pd 2.68-2.82, 3 Mo 2.71
Pd 0.3333 0.6667 0.2265  3 Mo 2.70, 9 Pd 2.82-2.84
Mo 0.6667 0.3333 0.6695  6 Pd 2.70-2.71, 6 Mo 2.82